Computed, not measured: a geometry-optimized Hf3HgH structure at the PBE-GGA level of DFT.

**N(E_F)**: 3.9 states/eV per cell
**Size of the total moment**: 0.00 μB per formula unit
**Space group**: Cm

Cell: 5.9578 5.3907 6.4359 Å, 90.01 105.68 114.34°
Fractional positions:
Hg: 0.8375 0.7950 0.7946
Hf: 0.3215 0.9287 0.1656
H: 0.2010 0.5166 0.1355
Hf: 0.3215 0.9287 0.6656
H: 0.2010 0.5166 0.6355
Hf: 0.8193 0.2575 0.5401
Hf: 0.3674 0.4315 0.4271
Hf: 0.8193 0.2575 0.0401
Hg: 0.8375 0.7950 0.2946
Hf: 0.3674 0.4315 0.9271

Computed, not measured: a geometry-optimized Hf3HgH structure at the PBE-GGA level of DFT.

**N(E_F)**: 6.9 states/eV per cell
**Size of the total moment**: 0.00 μB per formula unit
**Space group**: I-4m2

Cell: 5.9161 5.9161 6.8191 Å, 64.29 64.29 90.00°
Fractional positions:
Hf: 0.1258 0.8689 0.2623
Hf: 0.1311 0.8742 0.7377
Hf: 0.6120 0.8689 0.2623
Hg: 0.8882 0.3882 0.2236
H: 0.0000 0.0000 0.0000
H: 0.2500 0.7500 0.5000
Hf: 0.3689 0.3689 0.2622
Hf: 0.6311 0.6311 0.7378
Hg: 0.6118 0.1118 0.7764
Hf: 0.1311 0.3880 0.7377

Computed, not measured: a geometry-optimized Hf3HgH structure at the PBE-GGA level of DFT.

**N(E_F)**: 5.8 states/eV per cell
**Size of the total moment**: 0.00 μB per formula unit
**Space group**: C2/m

Cell: 24.0407 9.7701 9.7701 Å, 161.14 162.76 17.24°
Fractional positions:
Hg: 0.8610 0.9834 0.0166
Hg: 0.1390 0.0166 0.9834
Hf: 0.3537 0.6141 0.3859
Hf: 0.6463 0.3859 0.6141
Hf: 0.6361 0.6368 0.3632
Hf: 0.3639 0.3632 0.6368
Hf: 0.1181 0.2880 0.7120
H: 0.4129 0.9824 0.0176
H: 0.5871 0.0176 0.9824
Hf: 0.8819 0.7120 0.2880

Computed, not measured: a geometry-optimized Hf3HgH structure at the PBE-GGA level of DFT.

**N(E_F)**: 7.0 states/eV per cell
**Size of the total moment**: 0.00 μB per formula unit
**Space group**: Cc

Cell: 6.2323 6.0444 6.0445 Å, 116.91 103.99 103.99°
Fractional positions:
Hf: 0.7808 0.1744 0.3253
Hg: 0.1088 0.1351 0.7519
Hg: 0.6088 0.6295 0.2575
H: 0.6119 0.3222 0.5704
Hf: 0.5987 0.1449 0.7863
Hf: 0.7960 0.7270 0.8229
Hf: 0.2960 0.7005 0.8494
Hf: 0.0986 0.6639 0.2673
H: 0.1119 0.4480 0.4446
Hf: 0.2808 0.2029 0.2968

Computed, not measured: a geometry-optimized Hf3HgH structure at the PBE-GGA level of DFT.

**N(E_F)**: 4.8 states/eV per cell
**Size of the total moment**: 0.00 μB per formula unit
**Space group**: P4mm

Cell: 4.1852 4.1852 7.1220 Å, 90.00 90.00 90.00°
Fractional positions:
Hg: 0.0000 0.0000 0.3613
Hf: 0.5000 0.0000 0.6641
Hf: 0.0000 0.5000 0.6641
Hf: 0.0000 0.0000 0.9597
H: 0.5000 0.5000 0.6146

Computed, not measured: a geometry-optimized Hf3HgH structure at the PBE-GGA level of DFT.

**N(E_F)**: 13.6 states/eV per cell
**Size of the total moment**: 0.00 μB per formula unit
**Space group**: C2/c

Cell: 12.0129 7.9502 7.9502 Å, 99.37 131.44 48.56°
Fractional positions:
Hf: 0.9651 0.8559 0.1488
Hf: 0.6197 0.8870 0.9167
Hf: 0.0349 0.1441 0.8512
Hf: 0.1197 0.5833 0.6130
H: 0.1575 0.1330 0.7586
H: 0.6575 0.7414 0.3670
Hf: 0.3803 0.1130 0.0833
Hf: 0.4651 0.3512 0.6441
Hf: 0.8439 0.6814 0.7297
H: 0.8425 0.8670 0.2414
H: 0.3425 0.2586 0.6330
Hf: 0.1561 0.3186 0.2703
Hg: 0.2500 0.9019 0.4019
Hf: 0.3439 0.7703 0.8186
Hg: 0.7500 0.4166 0.9166
Hg: 0.2500 0.5834 0.0834
Hf: 0.8803 0.4167 0.3870
Hg: 0.7500 0.0981 0.5981
Hf: 0.5349 0.6488 0.3559
Hf: 0.6561 0.2297 0.1814

Computed, not measured: a geometry-optimized Hf3HgH structure at the PBE-GGA level of DFT.

**N(E_F)**: 2.4 states/eV per cell
**Size of the total moment**: 0.00 μB per formula unit
**Space group**: Amm2

Cell: 3.2148 5.3242 5.3242 Å, 98.38 90.00 90.00°
Fractional positions:
Hf: 0.0000 0.1474 0.8526
Hf: 0.5000 0.1785 0.3661
Hf: 0.5000 0.6339 0.8215
H: 0.5000 0.9962 0.0038
Hg: 0.0000 0.6721 0.3279

Computed, not measured: a geometry-optimized HfHgH structure at the PBE-GGA level of DFT.

**N(E_F)**: 4.2 states/eV per cell
**Size of the total moment**: 0.00 μB per formula unit
**Space group**: P-1

Cell: 3.2772 5.7874 6.0456 Å, 60.06 105.69 90.09°
Fractional positions:
Hg: 0.5177 0.7276 0.0389
H: 0.8006 0.8421 0.6015
Hg: 0.4823 0.2724 0.9611
Hf: 0.2221 0.7900 0.4439
Hf: 0.7779 0.2100 0.5561
H: 0.1994 0.1579 0.3985

Computed, not measured: a geometry-optimized Hf3HgH structure at the PBE-GGA level of DFT.

**N(E_F)**: 8.3 states/eV per cell
**Size of the total moment**: 0.00 μB per formula unit
**Space group**: P6_3/mmc

Cell: 3.2779 3.2779 19.8512 Å, 90.00 90.00 120.00°
Fractional positions:
Hf: 0.6667 0.3333 0.1242
H: 0.3333 0.6667 0.7500
Hf: 0.3333 0.6667 0.6242
Hf: 0.0000 0.0000 0.2500
Hf: 0.6667 0.3333 0.3758
H: 0.6667 0.3333 0.2500
Hf: 0.3333 0.6667 0.8758
Hg: 0.0000 0.0000 0.0000
Hg: 0.0000 0.0000 0.5000
Hf: 0.0000 0.0000 0.7500

Computed, not measured: a geometry-optimized HfHg3H structure at the PBE-GGA level of DFT.

**N(E_F)**: 5.2 states/eV per cell
**Size of the total moment**: 0.73 μB per formula unit
**Space group**: Pm-3m

Cell: 5.6463 5.6463 5.6463 Å, 90.00 90.00 90.00°
Fractional positions:
Hg: 0.5000 0.0000 0.0000
Hg: 0.0000 0.5000 0.0000
Hf: 0.0000 0.0000 0.0000
H: 0.5000 0.5000 0.5000
Hg: 0.0000 0.0000 0.5000

Computed, not measured: a geometry-optimized Hf2InHgH structure at the PBE-GGA level of DFT.

**N(E_F)**: 2.7 states/eV per cell
**Size of the total moment**: 0.00 μB per formula unit
**Space group**: P4/mmm

Cell: 4.2834 4.2834 4.7751 Å, 90.00 90.00 90.00°
Fractional positions:
Hf: 0.0000 0.5000 0.0000
In: 0.5000 0.5000 0.5000
H: 0.0000 0.0000 0.0000
Hf: 0.5000 0.0000 0.0000
Hg: 0.0000 0.0000 0.5000

Computed, not measured: a geometry-optimized HfInHgH2 structure at the PBE-GGA level of DFT.

**N(E_F)**: 1.3 states/eV per cell
**Size of the total moment**: 0.00 μB per formula unit
**Space group**: P4/mmm

Cell: 3.9785 5.7953 3.9785 Å, 90.00 90.00 90.00°
Fractional positions:
H: 0.0000 0.0000 0.5000
Hf: 0.0000 0.0000 0.0000
Hg: 0.0000 0.5000 0.0000
In: 0.5000 0.5000 0.5000
H: 0.5000 0.0000 0.0000

Computed, not measured: a geometry-optimized HfIn2HgH structure at the PBE-GGA level of DFT.

**N(E_F)**: 6.2 states/eV per cell
**Size of the total moment**: 1.67 μB per formula unit
**Space group**: P4/mmm

Cell: 5.7469 5.5190 5.7469 Å, 90.00 90.00 90.00°
Fractional positions:
Hg: 0.0000 0.5000 0.0000
Hf: 0.0000 0.0000 0.0000
In: 0.0000 0.0000 0.5000
H: 0.5000 0.5000 0.5000
In: 0.5000 0.0000 0.0000

Computed, not measured: a geometry-optimized LiHf2HgH structure at the PBE-GGA level of DFT.

**N(E_F)**: 5.0 states/eV per cell
**Size of the total moment**: 0.00 μB per formula unit
**Space group**: P4/mmm

Cell: 4.3127 4.3127 4.3012 Å, 90.00 90.00 90.00°
Fractional positions:
H: 0.0000 0.0000 0.0000
Hf: 0.5000 0.0000 0.0000
Li: 0.0000 0.0000 0.5000
Hf: 0.0000 0.5000 0.0000
Hg: 0.5000 0.5000 0.5000

Computed, not measured: a geometry-optimized HfMnHgH2 structure at the PBE-GGA level of DFT.

**N(E_F)**: 2.1 states/eV per cell
**Size of the total moment**: 2.05 μB per formula unit
**Space group**: P4/mmm

Cell: 3.9443 4.8966 3.9443 Å, 90.00 90.00 90.00°
Fractional positions:
H: 0.5000 0.0000 0.0000
Hf: 0.0000 0.5000 0.0000
Hg: 0.5000 0.5000 0.5000
Mn: 0.0000 0.0000 0.0000
H: 0.0000 0.0000 0.5000

Computed, not measured: a geometry-optimized HfNb2HgH structure at the PBE-GGA level of DFT.

**N(E_F)**: 3.0 states/eV per cell
**Size of the total moment**: 0.00 μB per formula unit
**Space group**: P4/mmm

Cell: 4.0959 4.8207 4.0959 Å, 90.00 90.00 90.00°
Fractional positions:
Hg: 0.0000 0.5000 0.0000
Hf: 0.5000 0.5000 0.5000
Nb: 0.5000 0.0000 0.0000
Nb: 0.0000 0.0000 0.5000
H: 0.0000 0.0000 0.0000

Computed, not measured: a geometry-optimized Hf2NbHgH structure at the PBE-GGA level of DFT.

**N(E_F)**: 4.5 states/eV per cell
**Size of the total moment**: 0.00 μB per formula unit
**Space group**: P4/mmm

Cell: 4.5128 4.5128 4.0579 Å, 90.00 90.00 90.00°
Fractional positions:
Hf: 0.5000 0.0000 0.0000
Hf: 0.0000 0.5000 0.0000
H: 0.0000 0.0000 0.0000
Nb: 0.0000 0.0000 0.5000
Hg: 0.5000 0.5000 0.5000

Computed, not measured: a geometry-optimized HfNb2HgH structure at the PBE-GGA level of DFT.

**N(E_F)**: 4.0 states/eV per cell
**Size of the total moment**: 0.00 μB per formula unit
**Space group**: P4/mmm

Cell: 4.1628 4.1628 4.5828 Å, 90.00 90.00 90.00°
Fractional positions:
Hg: 0.5000 0.5000 0.5000
Hf: 0.0000 0.0000 0.5000
Nb: 0.0000 0.5000 0.0000
Nb: 0.5000 0.0000 0.0000
H: 0.0000 0.0000 0.0000

Computed, not measured: a geometry-optimized Hf2HgHPd structure at the PBE-GGA level of DFT.

**N(E_F)**: 8.1 states/eV per cell
**Size of the total moment**: 0.00 μB per formula unit
**Space group**: P4/mmm

Cell: 5.2246 5.0145 5.2246 Å, 90.00 90.00 90.00°
Fractional positions:
H: 0.5000 0.5000 0.5000
Hg: 0.0000 0.0000 0.0000
Hf: 0.5000 0.0000 0.0000
Pd: 0.0000 0.5000 0.0000
Hf: 0.0000 0.0000 0.5000

Computed, not measured: a geometry-optimized Hf2HgHPd structure at the PBE-GGA level of DFT.

**N(E_F)**: 4.4 states/eV per cell
**Size of the total moment**: 0.43 μB per formula unit
**Space group**: P4/mmm

Cell: 4.4201 4.4201 4.0821 Å, 90.00 90.00 90.00°
Fractional positions:
Pd: 0.0000 0.0000 0.5000
Hf: 0.0000 0.5000 0.0000
Hf: 0.5000 0.0000 0.0000
Hg: 0.5000 0.5000 0.5000
H: 0.0000 0.0000 0.0000

Computed, not measured: a geometry-optimized HfRe2HgH structure at the PBE-GGA level of DFT.

**N(E_F)**: 4.2 states/eV per cell
**Size of the total moment**: 0.00 μB per formula unit
**Space group**: P4/mmm

Cell: 5.0357 3.3529 5.0357 Å, 90.00 90.00 90.00°
Fractional positions:
Hg: 0.5000 0.5000 0.5000
Re: 0.0000 0.0000 0.5000
H: 0.0000 0.5000 0.0000
Re: 0.5000 0.0000 0.0000
Hf: 0.0000 0.0000 0.0000

Computed, not measured: a geometry-optimized Hf2HgHRu structure at the PBE-GGA level of DFT.

**N(E_F)**: 3.6 states/eV per cell
**Size of the total moment**: 0.00 μB per formula unit
**Space group**: P4/mmm

Cell: 4.5159 4.5159 3.8200 Å, 90.00 90.00 90.00°
Fractional positions:
Ru: 0.0000 0.0000 0.5000
Hf: 0.0000 0.5000 0.0000
H: 0.0000 0.0000 0.0000
Hf: 0.5000 0.0000 0.0000
Hg: 0.5000 0.5000 0.5000

Computed, not measured: a geometry-optimized HfSc2HgH structure at the PBE-GGA level of DFT.

**N(E_F)**: 4.4 states/eV per cell
**Size of the total moment**: 0.00 μB per formula unit
**Space group**: P4/mmm

Cell: 5.4825 3.5656 5.4825 Å, 90.00 90.00 90.00°
Fractional positions:
Sc: 0.5000 0.0000 0.0000
Hg: 0.5000 0.5000 0.5000
Sc: 0.0000 0.0000 0.5000
Hf: 0.0000 0.0000 0.0000
H: 0.0000 0.5000 0.0000

no.,E (eV for the cell shown)
1,-68.41
2,-66.35
3,-67.98
4,-68.34
5,-30.94
6,-135.63
7,-33.97
8,-28.27
9,-67.34
10,-9.36
11,-26.62
12,-18.77
13,-13.79
14,-26.04
15,-22.91
16,-33.58
17,-34.27
18,-34.08
19,-20.77
20,-30.17
21,-31.13
22,-33.95
23,-24.12